1.
Entry from the Alexandria database: Ac2SmSn3Rh4 after structural relaxation (GGA-PBE).

```
data_Ac2SmSn3Rh4
_chemical_formula_sum 'Ac2 Sm1 Sn3 Rh4'
_cell_length_a 4.528
_cell_length_b 4.528
_cell_length_c 11.598
_cell_angle_alpha 90.00
_cell_angle_beta 90.00
_cell_angle_gamma 90.00
_space_group_name_H-M_alt 'P 1'
_space_group_IT_number 1
_space_group_name_Hall 'P 1'
loop_
_atom_site_label
_atom_site_fract_x
_atom_site_fract_y
_atom_site_fract_z
Sm1 0.500 0.500 0.500
Sn1 0.500 0.000 0.879
Sn2 0.000 0.000 0.500
Sn3 0.000 0.500 0.121
Ac1 0.000 0.500 0.764
Ac2 0.500 0.000 0.236
Rh1 0.500 0.500 0.000
Rh2 0.500 0.000 0.649
Rh3 0.000 0.000 0.000
Rh4 0.000 0.500 0.351
```

Values from the calculation:
As for the symmetry: No. 115. The electronic total energy comes out at -6.19 eV per atom.

***

2.
Entry from the Alexandria database: Ac2SmSn4Rh3 after structural relaxation (GGA-PBE).

```
data_Ac2SmSn4Rh3
_chemical_formula_sum 'Ac2 Sm1 Sn4 Rh3'
_cell_length_a 4.544
_cell_length_b 4.544
_cell_length_c 12.281
_cell_angle_alpha 90.00
_cell_angle_beta 90.00
_cell_angle_gamma 90.00
_space_group_name_H-M_alt 'P 1'
_space_group_IT_number 1
_space_group_name_Hall 'P 1'
loop_
_atom_site_label
_atom_site_fract_x
_atom_site_fract_y
_atom_site_fract_z
Rh1 0.000 0.500 0.120
Rh2 0.500 0.000 0.880
Rh3 0.000 0.000 0.500
Ac1 0.500 0.000 0.227
Ac2 0.000 0.500 0.773
Sn1 0.500 0.500 0.000
Sn2 0.500 0.000 0.664
Sn3 0.000 0.500 0.336
Sn4 0.000 0.000 0.000
Sm1 0.500 0.500 0.500
```

Values from the calculation:
As for the symmetry: No. 115. The electronic total energy comes out at -5.78 eV per atom.

***

3.
Entry from the Alexandria database: AcSmSnRh after structural relaxation (GGA-PBE).

```
data_AcSmSnRh
_chemical_formula_sum 'Ac1 Sm1 Sn1 Rh1'
_cell_length_a 5.391
_cell_length_b 5.391
_cell_length_c 5.391
_cell_angle_alpha 60.00
_cell_angle_beta 60.00
_cell_angle_gamma 60.00
_space_group_name_H-M_alt 'P 1'
_space_group_IT_number 1
_space_group_name_Hall 'P 1'
loop_
_atom_site_label
_atom_site_fract_x
_atom_site_fract_y
_atom_site_fract_z
Ac1 0.750 0.750 0.750
Rh1 0.500 0.500 0.500
Sm1 0.250 0.250 0.250
Sn1 0.000 0.000 0.000
```

Values from the calculation:
As for the symmetry: No. 216. The electronic total energy comes out at -5.53 eV per atom.

***

4.
Entry from the Alexandria database: Ac2SmTe3Rh4 after structural relaxation (GGA-PBE).

```
data_Ac2SmTe3Rh4
_chemical_formula_sum 'Ac2 Sm1 Te3 Rh4'
_cell_length_a 4.573
_cell_length_b 4.573
_cell_length_c 11.371
_cell_angle_alpha 90.00
_cell_angle_beta 90.00
_cell_angle_gamma 90.00
_space_group_name_H-M_alt 'P 1'
_space_group_IT_number 1
_space_group_name_Hall 'P 1'
loop_
_atom_site_label
_atom_site_fract_x
_atom_site_fract_y
_atom_site_fract_z
Rh1 0.500 0.500 0.000
Rh2 0.000 0.500 0.358
Rh3 0.500 0.000 0.642
Rh4 0.000 0.000 0.000
Te1 0.000 0.500 0.128
Te2 0.500 0.000 0.872
Te3 0.000 0.000 0.500
Ac1 0.000 0.500 0.779
Ac2 0.500 0.000 0.221
Sm1 0.500 0.500 0.500
```

Values from the calculation:
As for the symmetry: No. 115. The electronic total energy comes out at -6.03 eV per atom. The energy relative to the elements, uncorrected is -8.531 eV/f.u.

***

5.
Entry from the Alexandria database: AcSmTlRh after structural relaxation (GGA-PBE).

```
data_AcSmTlRh
_chemical_formula_sum 'Ac1 Sm1 Tl1 Rh1'
_cell_length_a 5.397
_cell_length_b 5.397
_cell_length_c 5.397
_cell_angle_alpha 60.00
_cell_angle_beta 60.00
_cell_angle_gamma 60.00
_space_group_name_H-M_alt 'P 1'
_space_group_IT_number 1
_space_group_name_Hall 'P 1'
loop_
_atom_site_label
_atom_site_fract_x
_atom_site_fract_y
_atom_site_fract_z
Rh1 0.500 0.500 0.500
Sm1 0.750 0.750 0.750
Tl1 0.000 0.000 0.000
Ac1 0.250 0.250 0.250
```

Values from the calculation:
As for the symmetry: No. 216. The electronic total energy comes out at -4.97 eV per atom.

***

6.
Entry from the Alexandria database: AcSmZnRh after structural relaxation (GGA-PBE).

```
data_AcSmZnRh
_chemical_formula_sum 'Ac1 Sm1 Zn1 Rh1'
_cell_length_a 5.220
_cell_length_b 5.220
_cell_length_c 5.220
_cell_angle_alpha 60.00
_cell_angle_beta 60.00
_cell_angle_gamma 60.00
_space_group_name_H-M_alt 'P 1'
_space_group_IT_number 1
_space_group_name_Hall 'P 1'
loop_
_atom_site_label
_atom_site_fract_x
_atom_site_fract_y
_atom_site_fract_z
Sm1 0.000 0.000 0.000
Rh1 0.250 0.250 0.250
Zn1 0.750 0.750 0.750
Ac1 0.500 0.500 0.500
```

Values from the calculation:
As for the symmetry: No. 216. The electronic total energy comes out at -4.78 eV per atom.

***

7.
Entry from the Alexandria database: Ac3Sn8Rh3 after structural relaxation (GGA-PBE).

```
data_Ac3Sn8Rh3
_chemical_formula_sum 'Ac3 Sn8 Rh3'
_cell_length_a 4.771
_cell_length_b 9.558
_cell_length_c 10.160
_cell_angle_alpha 56.06
_cell_angle_beta 76.42
_cell_angle_gamma 75.55
_space_group_name_H-M_alt 'P 1'
_space_group_IT_number 1
_space_group_name_Hall 'P 1'
loop_
_atom_site_label
_atom_site_fract_x
_atom_site_fract_y
_atom_site_fract_z
Sn1 0.373 0.007 0.248
Sn2 0.627 0.993 0.752
Sn3 0.177 0.541 0.106
Sn4 0.123 0.189 0.566
Sn5 0.472 0.362 0.694
Sn6 0.877 0.811 0.434
Sn7 0.528 0.638 0.306
Sn8 0.823 0.459 0.894
Rh1 0.000 0.500 0.500
Rh2 0.653 0.685 0.010
Rh3 0.347 0.315 0.990
Ac1 0.000 0.000 0.000
Ac2 0.271 0.762 0.695
Ac3 0.729 0.238 0.305
```

Values from the calculation:
As for the symmetry: No. 12. The electronic total energy comes out at -5.30 eV per atom.

***

8.
Entry from the Alexandria database: Ac12SnRh6 after structural relaxation (GGA-PBE).

```
data_Ac12SnRh6
_chemical_formula_sum 'Ac12 Sn1 Rh6'
_cell_length_a 9.342
_cell_length_b 9.342
_cell_length_c 9.342
_cell_angle_alpha 109.47
_cell_angle_beta 109.47
_cell_angle_gamma 109.47
_space_group_name_H-M_alt 'P 1'
_space_group_IT_number 1
_space_group_name_Hall 'P 1'
loop_
_atom_site_label
_atom_site_fract_x
_atom_site_fract_y
_atom_site_fract_z
Ac1 0.689 0.508 0.819
Ac2 0.689 0.869 0.181
Ac3 0.819 0.689 0.508
Ac4 0.181 0.311 0.492
Ac5 0.311 0.131 0.819
Ac6 0.181 0.689 0.869
Ac7 0.819 0.311 0.131
Ac8 0.131 0.819 0.311
Ac9 0.492 0.181 0.311
Ac10 0.508 0.819 0.689
Ac11 0.869 0.181 0.689
Ac12 0.311 0.492 0.181
Rh1 0.868 0.368 0.500
Rh2 0.500 0.868 0.368
Rh3 0.500 0.132 0.632
Rh4 0.368 0.500 0.868
Rh5 0.132 0.632 0.500
Rh6 0.632 0.500 0.132
Sn1 0.000 0.000 0.000
```

Values from the calculation:
As for the symmetry: No. 204. The electronic total energy comes out at -5.69 eV per atom.

***

Question: electronic total energy of number 3 (AcSmSnRh)?
Answer: -5.53 eV per atom

***

Question: Which of these has the highest electronic total energy?
Answer: AcSmZnRh

***

Question: Which of these has the lowest electronic total energy?
Answer: Ac2SmSn3Rh4

***

Question: What is the electronic total energy in the fourth record?
Answer: -6.03 eV per atom